# 1
Compound: NaPaPdS4
Source: the Alexandria database
Functional: PBE
Structure: optimized geometry

Summary:
Electronic total energy   -79.53 eV/cell
Crystal system   monoclinic

Geometry as extended XYZ:
```
14
Lattice="6.875 0.000 -0.422 0.000 5.396 0.000 -3.173 0.000 8.434" Properties=species:S:1:pos:R:3 pbc="T T T"
Na 1.603 4.047 7.768
Na 2.099 1.349 0.245
Pa 3.529 4.047 3.418
Pa 0.174 1.349 4.595
Pd 0.430 4.047 2.364
Pd 3.273 1.349 5.649
S -1.829 2.915 5.943
S 5.531 0.217 2.070
S 5.531 2.481 2.070
S -1.829 5.179 5.943
S 2.454 4.047 1.053
S 1.249 1.349 6.960
S 1.132 4.047 4.698
S 2.571 1.349 3.315
```

# 2
Compound: NaPaPdSe3
Source: the Alexandria database
Functional: PBE
Structure: optimized geometry

Summary:
Electronic total energy   -66.97 eV/cell
Crystal system   orthorhombic

Geometry as extended XYZ:
```
12
Lattice="-1.557 2.775 -2.544 -4.369 -5.710 -0.292 -5.701 3.963 7.811" Properties=species:S:1:pos:R:3 pbc="T T T"
Na -7.747 2.099 3.768
Na -3.880 -1.070 1.207
Pa -2.850 1.981 3.905
Pa 0.000 0.000 0.000
Pd -9.117 -1.093 4.387
Pd -2.510 2.121 0.587
Se -4.741 1.970 1.787
Se -6.886 -0.941 3.187
Se -9.130 0.618 6.261
Se -2.498 0.410 -1.287
Se -5.146 2.241 5.594
Se -6.481 -1.213 -0.619
```

# 3
Compound: Na3PaPd2Se6
Source: the Alexandria database
Functional: PBE
Structure: optimized geometry

Summary:
Electronic total energy   -55.40 eV/cell
Crystal system   monoclinic

Geometry as extended XYZ:
```
12
Lattice="-2.346 5.942 1.947 -2.495 -2.953 -5.445 -3.330 -4.280 5.217" Properties=species:S:1:pos:R:3 pbc="T T T"
Na -4.135 -3.638 -1.627
Na -4.035 2.346 3.346
Na -4.085 -0.646 0.859
Pa 0.000 0.000 0.000
Pd -2.445 0.013 -2.980
Pd -2.395 2.976 -0.518
Se -6.231 0.446 2.732
Se -4.227 1.241 -1.407
Se -1.940 -1.738 -1.013
Se -6.283 -2.643 0.164
Se -3.943 -2.532 3.126
Se -1.888 1.352 1.554
```

# 4
Compound: Na2Pa2PdSe6
Source: the Alexandria database
Functional: PBE
Structure: optimized geometry

Summary:
Electronic total energy   -60.32 eV/cell
Crystal system   monoclinic

Geometry as extended XYZ:
```
11
Lattice="7.139 -0.208 0.095 -3.709 6.104 0.095 -1.191 -2.047 7.051" Properties=species:S:1:pos:R:3 pbc="T T T"
Na 5.425 0.789 0.095
Na -1.995 5.106 0.095
Pa -0.631 2.943 3.620
Pa 2.870 0.906 3.620
Pd -0.595 -1.024 3.525
Se 1.700 2.923 5.195
Se -1.972 1.090 5.168
Se 0.539 0.926 2.045
Se 1.922 -1.176 5.168
Se 4.211 2.759 2.072
Se 0.317 5.025 2.072
```

- Which value of electronic total energy does entry 3 give?
  -55.40 eV/cell